Computed, not measured: a relaxed structure of ZnGa2Ag4 at the GGA-PBE level of DFT.

a b c (Å): 4.518 4.518 13.961
angles (deg): 90.00 90.00 119.99
Atoms (fractional coordinates):
Zn  0.002  0.998  0.750
Zn  0.998  0.002  0.250
Ga  0.334  0.666  0.559
Ga  0.334  0.666  0.941
Ga  0.666  0.334  0.059
Ga  0.666  0.334  0.441
Ag  0.000  0.000  0.000
Ag  0.000  0.000  0.500
Ag  0.332  0.668  0.146
Ag  0.332  0.668  0.354
Ag  0.336  0.664  0.750
Ag  0.664  0.336  0.250
Ag  0.668  0.332  0.646
Ag  0.668  0.332  0.854

Summary:
Its space-group type is No. 63. For the total energy, the calculation gives -2.650 eV/atom. For the polymorph energy (0 for the lowest one), the calculation gives 32 meV per atom. As for the density of states at the Fermi level: 3.66 states/eV/cell.